Density functional theory data (PBE-GGA) for crystalline Y7Ho2Sc2 at its relaxed geometry.

abc: 8.3481 10.5149 8.0600
angles: 90.00 103.44 90.00
With the nearest neighbours (Å) after each atom.
Space group C2/m (No. 12)
Unique sites:
Y: 0.0000 0.0000 0.0000 x2  2 Ho 3.43, 6 Y 3.59-3.77
Y: 0.1941 0.0000 0.4718 x4  4 Sc 3.32-3.52, 1 Ho 3.32, 3 Y 3.38-3.53
Y: 0.2025 0.2860 0.1817 x8  2 Sc 3.24-3.39, 3 Ho 3.29-3.62, 3 Y 3.30-3.59
Ho: 0.0850 0.5000 0.8217 x4  8 Y 3.29-3.62, 2 Sc 3.33, 1 Ho 3.49
Sc: 0.0000 0.2937 0.5000 x4  8 Y 3.24-3.52, 2 Ho 3.33

* energy relative to the elements: 0.1493 eV per atom
* total magnetic moment: 0.00 μB per formula unit
* polymorph energy (0 for the lowest one): 0 meV/atom
* uncorrected energy: -5.95 eV per atom